Entry from the Alexandria database: Ac2FeCu3Ge4 after structural relaxation (PBE).

Summary:
- Magnetic moment: 0.28 μB per atom
- Calculated formation energy: -0.43 eV per atom
- E: -5.18 eV per atom
- SG: P-4m2

Cell: 4.3492 4.3492 10.2848 Å, 90.00 90.00 90.00°
Last column: nearest neighbours and their distance in Å.
Positions (direct):
Cu 0.0000 0.0000 0.5000  4 Ge 2.52
Ge 0.5000 0.5000 0.0000  4 Cu 2.54
Cu 0.5000 0.0000 0.8727  5 Ge 2.54-2.56
Ge 0.5000 0.0000 0.6239  2 Fe 2.52, 3 Cu 2.52-2.56
Fe 0.5000 0.5000 0.5000  4 Ge 2.52
Cu 0.0000 0.5000 0.1273  5 Ge 2.54-2.56
Ge 0.0000 0.0000 0.0000  4 Cu 2.54
Ac 0.5000 0.0000 0.2512  6 Cu 3.33-3.36, 8 Ge 3.33-3.38, 2 Fe 3.36
Ac 0.0000 0.5000 0.7488  6 Cu 3.33-3.36, 8 Ge 3.33-3.38, 2 Fe 3.36
Ge 0.0000 0.5000 0.3761  2 Fe 2.52, 3 Cu 2.52-2.56

Entry from the Alexandria database: Al3VS after structural relaxation (PBE).

Summary:
- Magnetic moment: 0.59 μB per atom
- Distance to the lowest polymorph of the same formula: 0.00 eV per formula unit
- E: -4.21 eV per atom
- SG: Pm-3m
- E_form (uncorrected): 0.685 eV per atom

Cell: 4.6366 4.6366 4.6366 Å, 90.00 90.00 90.00°
Last column: nearest neighbours and their distance in Å.
Positions (direct):
S 0.0000 0.0000 0.0000  6 Al 2.32
Al 0.5000 0.0000 0.0000  2 S 2.32
Al 0.0000 0.5000 0.0000  2 S 2.32
Al 0.0000 0.0000 0.5000  2 S 2.32
V 0.5000 0.5000 0.5000  12 Al 3.28

Entry from the Alexandria database: Ta2HgMo after structural relaxation (PBE).

Summary:
- Magnetic moment: 0.00 μB per atom
- Calculated formation energy: 0.32 eV per atom
- E: -8.39 eV per atom
- SG: P4mm

Cell: 2.8073 2.8073 9.3040 Å, 90.00 90.00 90.00°
Last column: nearest neighbours and their distance in Å.
Positions (direct):
Ta 0.0000 0.0000 0.9991  8 Ta 2.81-3.04, 4 Mo 3.04
Hg 0.0000 0.0000 0.5033  4 Hg 2.81, 4 Mo 3.04, 4 Ta 3.11
Ta 0.5000 0.5000 0.2464  8 Ta 2.81-3.04, 4 Hg 3.11
Mo 0.5000 0.5000 0.7513  4 Mo 2.81, 4 Ta 3.04, 4 Hg 3.04

Entry from the Alexandria database: Ce2AsBr after structural relaxation (PBE).

Summary:
- Magnetic moment: 0.59 μB per atom
- E: -5.83 eV per atom
- SG: R3m
- E_form (uncorrected): -1.287 eV per atom

Cell: 4.1011 4.1011 8.0111 Å, 75.17 75.17 60.00°
Last column: nearest neighbours and their distance in Å.
Positions (direct):
Br 0.4983 0.4983 0.5050  6 Ce 3.17-3.23
As 0.6677 0.6677 0.9969  6 Ce 2.89-2.91
Ce 0.2606 0.2606 0.2181  3 As 2.91, 3 Br 3.23
Ce 0.0733 0.0733 0.7800  3 As 2.89, 3 Br 3.17

Entry from the Alexandria database: TaTl2W after structural relaxation (PBE).

Summary:
- Magnetic moment: 0.00 μB per atom
- Distance to the lowest polymorph of the same formula: 2.40 eV per formula unit
- Calculated formation energy: 1.11 eV per atom
- E: -6.27 eV per atom
- SG: Fm-3m

Cell: 4.8036 4.8036 4.8036 Å, 60.00 60.00 60.00°
Last column: nearest neighbours and their distance in Å.
Positions (direct):
W 0.5000 0.5000 0.5000  8 Tl 2.94
Tl 0.7500 0.7500 0.7500  4 Ta 2.94, 4 W 2.94
Tl 0.2500 0.2500 0.2500  4 Ta 2.94, 4 W 2.94
Ta 0.0000 0.0000 0.0000  8 Tl 2.94

Entry from the Alexandria database: Pm12Dy6In after structural relaxation (PBE).

Summary:
- Magnetic moment: 0.00 μB per atom
- Distance to the lowest polymorph of the same formula: 0.00 eV per formula unit
- Calculated formation energy: 0.06 eV per atom
- E: -4.53 eV per atom
- SG: R-3

Cell: 8.6006 8.6006 8.6006 Å, 88.67 88.67 88.67°
Last column: nearest neighbours and their distance in Å.
Positions (direct):
Pm 0.1818 0.3624 0.0153  4 Dy 3.48-3.73, 1 In 3.53, 5 Pm 3.53-3.89
Pm 0.2163 0.4621 0.5681  3 Dy 3.35-3.55, 4 Pm 3.37-3.67
Pm 0.5379 0.4319 0.7837  3 Dy 3.35-3.55, 4 Pm 3.37-3.67
Pm 0.0153 0.1818 0.3624  4 Dy 3.48-3.73, 1 In 3.53, 5 Pm 3.53-3.89
Dy 0.7437 0.9012 0.2885  7 Pm 3.35-3.73, 1 In 3.39, 2 Dy 3.44
Dy 0.7115 0.2563 0.0988  7 Pm 3.35-3.73, 1 In 3.39, 2 Dy 3.44
Pm 0.8182 0.6376 0.9847  4 Dy 3.48-3.73, 1 In 3.53, 5 Pm 3.53-3.89
Dy 0.2885 0.7437 0.9012  7 Pm 3.35-3.73, 1 In 3.39, 2 Dy 3.44
Pm 0.7837 0.5379 0.4319  3 Dy 3.35-3.55, 4 Pm 3.37-3.67
Pm 0.4621 0.5681 0.2163  3 Dy 3.35-3.55, 4 Pm 3.37-3.67
Pm 0.3624 0.0153 0.1818  4 Dy 3.48-3.73, 1 In 3.53, 5 Pm 3.53-3.89
In 0.0000 0.0000 0.0000  6 Dy 3.39, 6 Pm 3.53
Dy 0.2563 0.0988 0.7115  7 Pm 3.35-3.73, 1 In 3.39, 2 Dy 3.44
Pm 0.4319 0.7837 0.5379  3 Dy 3.35-3.55, 4 Pm 3.37-3.67
Dy 0.9012 0.2885 0.7437  7 Pm 3.35-3.73, 1 In 3.39, 2 Dy 3.44
Pm 0.9847 0.8182 0.6376  4 Dy 3.48-3.73, 1 In 3.53, 5 Pm 3.53-3.89
Pm 0.6376 0.9847 0.8182  4 Dy 3.48-3.73, 1 In 3.53, 5 Pm 3.53-3.89
Dy 0.0988 0.7115 0.2563  7 Pm 3.35-3.73, 1 In 3.39, 2 Dy 3.44
Pm 0.5681 0.2163 0.4621  3 Dy 3.35-3.55, 4 Pm 3.37-3.67